# 1
11
Lattice="4.554 0.000 0.000 -2.277 6.562 0.065 0.000 -3.602 6.045" Properties=species:S:1:pos:R:3 comment="Cs2BC2O6 GGA-PBE relaxed" rho_g_cm3=3.62 final_energy_ev_per_atom=-6.395 crystal_system=monoclinic formation_energy_uncorrected_ev_per_atom=-1.2514 pbc="T T T"
Cs 2.277 1.699 1.169
Cs 0.000 1.261 4.942
B 2.277 -1.801 3.023
C 0.000 -2.306 3.892
C 2.277 5.266 2.219
O 2.277 2.970 3.906
O -1.085 4.645 1.917
O 1.192 -1.686 4.194
O 3.362 -1.686 4.194
O 1.085 4.645 1.917
O 0.000 -0.011 2.205

***

# 2
4
Lattice="5.257 0.000 0.000 2.628 4.552 0.000 2.628 1.517 4.292" Properties=species:S:1:pos:R:3 comment="LaZr2Te GGA-PBE relaxed" rho_g_cm3=7.26 final_energy_ev_per_atom=-6.366 crystal_system=cubic formation_energy_uncorrected_ev_per_atom=-0.0746 pbc="T T T"
La 5.257 3.035 2.146
Te 7.885 4.552 3.219
Zr 0.000 0.000 0.000
Zr 2.628 1.517 1.073

***

# 3
3
Lattice="3.227 0.000 0.000 -1.613 4.672 -1.007 0.000 1.705 2.740" Properties=species:S:1:pos:R:3 comment="NbZnOs GGA-PBE relaxed" rho_g_cm3=12.36 final_energy_ev_per_atom=-7.569 ef_ev_per_atom=-0.04 crystal_system=tetragonal pbc="T T T"
Nb 0.000 2.139 2.469
Os 1.613 2.504 0.342
Zn 0.000 4.583 0.949

***

# 4
8
Lattice="4.936 0.000 0.000 0.000 6.625 -0.541 0.000 -0.861 10.431" Properties=species:S:1:pos:R:3 comment="Rb2BiPt GGA-PBE relaxed" rho_g_cm3=5.64 final_energy_ev_per_atom=-3.213 ef_ev_per_atom=-0.25 crystal_system=monoclinic pbc="T T T"
Rb 3.702 4.380 4.167
Rb 1.234 1.384 5.722
Rb 1.234 4.968 0.504
Rb 3.702 0.795 9.386
Bi 3.702 1.008 2.639
Bi 1.234 4.756 7.250
Pt 1.234 1.878 2.230
Pt 3.702 3.886 7.660

***

# 5
4
Lattice="7.065 0.030 -0.004 3.737 5.995 0.004 -4.805 -4.081 3.189" Properties=species:S:1:pos:R:3 comment="Ba2MgIr GGA-PBE relaxed" rho_g_cm3=6.05 final_energy_ev_per_atom=-3.585 ef_ev_per_atom=-0.01 crystal_system=orthorhombic pbc="T T T"
Ba 0.010 0.006 0.000
Ba 2.844 2.841 1.596
Ir 5.607 3.127 0.000
Mg 2.937 -1.017 1.592

***

# 6
3
Lattice="-0.507 -1.831 4.159 -2.996 -3.012 -1.691 2.394 -2.041 -0.607" Properties=species:S:1:pos:R:3 comment="Zr2Tc GGA-PBE relaxed" rho_g_cm3=6.95 final_energy_ev_per_atom=-9.039 ef_ev_per_atom=0.12 relative_energy_mev_per_atom=390.3 crystal_system=tetragonal pbc="T T T"
Tc 0.000 0.000 0.000
Zr -0.301 -2.526 -1.149
Zr 0.944 -1.936 1.776